(1)
Material: TlSbPb2
Method: DFT, GGA-PBEsol
State: optimized geometry

Structure (POSCAR):
```
TlSbPb2
1.0
3.2034 0.0000 0.0616
0.0000 5.4602 0.0000
-0.1300 0.0000 6.6682
Pb Sb Tl
2 1 1
Cartesian
1.5146 0.0000 5.0184 Pb
1.5588 0.0000 1.7114 Pb
1.6017 2.7301 0.0308 Sb
-0.0650 2.7301 3.3341 Tl
```

Computed properties:
DFT total energy: -0.138 Ha/atom
size of the total moment: 0.000 Bohr magnetons per cell
space-group type: P2/m, No. 10


(2)
Material: NiBiBr2
Method: DFT, GGA-PBEsol
State: optimized geometry

Structure (POSCAR):
```
NiBiBr2
1.0
-1.7132 4.6390 -0.0247
-4.8531 0.8460 0.4330
-1.5500 2.0995 6.7662
Ni Bi Br
1 1 2
Cartesian
0.0000 0.0000 0.0000 Ni
-4.0581 3.7922 3.5873 Bi
-1.7569 2.0116 4.6187 Br
-6.3593 5.5728 2.5558 Br
```

Computed properties:
DFT total energy: -0.117 Ha/atom
size of the total moment: 0.220 Bohr magnetons per cell
space-group type: R-3m, No. 166


(3)
Material: Tl2ClF
Method: DFT, GGA-PBEsol
State: optimized geometry

Structure (POSCAR):
```
Tl2ClF
1.0
6.5841 0.0000 0.0000
0.0000 6.5841 0.0000
-3.2921 -3.2921 6.1966
Tl F Cl
4 2 2
Cartesian
2.0123 4.9381 1.5491 Tl
4.5718 1.6460 1.5491 Tl
-1.6460 -1.2797 4.6474 Tl
1.6460 1.2797 4.6474 Tl
3.2921 0.0000 3.0983 F
3.2921 3.2921 0.0000 F
0.0000 3.2921 3.0983 Cl
0.0000 0.0000 0.0000 Cl
```

Computed properties:
DFT total energy: -0.129 Ha/atom
size of the total moment: 0.000 Bohr magnetons per cell
space-group type: I-42d, No. 122


(4)
Material: Cu2SiSnN
Method: DFT, GGA-PBEsol
State: optimized geometry

Structure (POSCAR):
```
Cu2SiSnN
1.0
3.3272 0.0000 0.0000
0.0000 4.7668 0.0000
0.0000 0.0000 4.7668
Si Sn Cu N
1 1 2 1
Cartesian
0.0000 0.0000 0.0000 Si
1.6636 2.3834 2.3834 Sn
0.0000 0.0000 2.3834 Cu
0.0000 2.3834 0.0000 Cu
1.6636 0.0000 0.0000 N
```

Computed properties:
DFT total energy: -0.181 Ha/atom
size of the total moment: 0.000 Bohr magnetons per cell
space-group type: P4/mmm, No. 123


(5)
Material: ReBIr3
Method: DFT, GGA-PBEsol
State: optimized geometry

Structure (POSCAR):
```
ReBIr3
1.0
4.6880 0.0000 0.0000
0.0000 4.6880 0.0000
0.0000 0.0000 4.6880
Re B Ir
1 1 3
Cartesian
0.0000 0.0000 0.0000 Re
2.3440 2.3440 2.3440 B
0.0000 2.3440 0.0000 Ir
0.0000 0.0000 2.3440 Ir
2.3440 0.0000 0.0000 Ir
```

Computed properties:
DFT total energy: -0.265 Ha/atom
energy relative to the elements: 2.7548 eV/atom
size of the total moment: 0.000 Bohr magnetons per cell
space-group type: Pm-3m, No. 221


(6)
Material: Na2ZnBr4
Method: DFT, GGA-PBEsol
State: optimized geometry

Structure (POSCAR):
```
Na2ZnBr4
1.0
-5.5739 -3.3555 -1.6832
0.1393 -3.9916 7.4962
-8.0160 10.4498 5.7133
Na Zn Br
8 4 16
Cartesian
0.0000 0.0000 0.0000 Na
-6.7949 3.5472 2.0151 Na
0.0696 -1.9958 3.7481 Na
-6.7253 1.5513 5.7632 Na
-7.6393 -1.5013 1.7486 Na
-4.4704 -2.2265 6.1157 Na
-5.8114 4.6040 9.7778 Na
-8.9802 5.3291 5.4106 Na
-2.9495 -1.4000 1.7154 Zn
-8.2113 -1.7566 6.4354 Zn
-10.5011 4.5027 9.8109 Zn
-5.2393 4.8593 5.0909 Zn
-4.9265 -2.5814 1.1230 Br
-4.6052 0.4056 7.5197 Br
-8.5242 5.6840 10.4033 Br
-8.8455 2.6971 4.0066 Br
-4.7801 2.7609 3.9650 Br
-4.5183 -4.7963 4.7482 Br
-8.6706 0.3418 7.5613 Br
-8.9324 7.8989 6.7781 Br
-2.7581 0.7953 0.7183 Br
-6.7353 -2.9480 7.9360 Br
-10.7552 4.1012 7.4394 Br
-6.6528 4.2569 6.9589 Br
-10.6926 2.3074 10.8080 Br
-6.7154 6.0507 3.5903 Br
-2.6955 -0.9985 4.0869 Br
-6.7979 -1.1543 4.5674 Br
```

Computed properties:
DFT total energy: -0.108 Ha/atom
size of the total moment: 0.001 Bohr magnetons per cell
space-group type: Pnma, No. 62


(7)
Material: BaSc2Al
Method: DFT, GGA-PBEsol
State: optimized geometry

Structure (POSCAR):
```
BaSc2Al
1.0
-4.4282 1.0056 2.7220
-4.7009 -0.1924 -2.4278
-3.3845 -3.9221 1.0916
Sc Ba Al
2 1 1
Cartesian
0.0000 0.0000 0.0000 Sc
-9.3852 -2.3317 1.0394 Sc
-3.1284 -0.7772 0.3465 Ba
-6.2568 -1.5545 0.6929 Al
```

Computed properties:
DFT total energy: -0.172 Ha/atom
energy relative to the elements: 0.1799 eV/atom
size of the total moment: 0.415 Bohr magnetons per cell
space-group type: F-43m, No. 216


(8)
Material: CaCr2In
Method: DFT, GGA-PBEsol
State: optimized geometry

Structure (POSCAR):
```
CaCr2In
1.0
-0.6872 3.4613 -0.1821
-2.2998 -0.5942 -2.6160
-5.0086 -0.7537 4.5744
Cr Ca In
2 1 1
Cartesian
-3.9540 -0.5950 3.6112 Cr
-1.0546 -0.1587 0.9632 Cr
-3.9978 1.0567 0.8881 Ca
-1.4935 1.4335 -1.3991 In
```

Computed properties:
DFT total energy: -0.211 Ha/atom
energy relative to the elements: 0.6688 eV/atom
size of the total moment: 8.064 Bohr magnetons per cell
space-group type: P4/mmm, No. 123


- Among the records above, which one has the lowest DFT total energy?
  ReBIr3